Record 1
DFT (PBE) results for a relaxed CrMoH2 crystal.

Lattice parameters (Å, degrees): 4.072 4.072 5.004 65.99 65.99 90.00
Fractional coordinates of all 8 atoms:
H 0.375 0.406 0.750
H 0.594 0.125 0.250
H 0.156 0.625 0.250
H 0.875 0.844 0.750
Cr 0.250 0.750 0.500
Cr 0.500 0.500 0.000
Mo 0.750 0.250 0.500
Mo 0.000 0.000 0.000

crystal system	tetragonal


Record 2
DFT (PBE) results for a relaxed Ni2MoOs crystal.

Lattice parameters (Å, degrees): 4.577 4.577 4.577 81.01 81.01 33.54
Fractional coordinates of all 4 atoms:
Os 0.493 0.493 0.509
Ni 0.002 0.002 0.988
Ni 0.751 0.751 0.757
Mo 0.254 0.254 0.245

formation energy	0.26	eV/f.u.
crystal system	monoclinic


Calculated values (meV/atom) of energy above the most stable polymorph in this dataset for the records, taken in order: 104; 78.
Calculated values (eV per atom) of electronic total energy for the records, taken in order: -6.6419; -8.3414.